La2AuBr: optimized geometry, PBE.

Structure (CIF):
```
data_La2AuBr
_space_group_name_H-M_alt 'P 1'
_space_group_IT_number 1
_space_group_name_Hall 'P 1'
_cell_length_a 9.9566
_cell_length_b 9.9566
_cell_length_c 7.6029
_cell_angle_alpha 104.84
_cell_angle_beta 104.84
_cell_angle_gamma 127.48
loop_
_atom_site_label
_atom_site_type_symbol
_atom_site_fract_x
_atom_site_fract_y
_atom_site_fract_z
La1 La 0.0527 0.4252 0.7319
La2 La 0.1673 0.2972 0.2350
La3 La 0.2972 0.1673 0.7350
La4 La 0.4252 0.0527 0.2319
La5 La 0.5748 0.9473 0.7681
La6 La 0.7028 0.8327 0.2650
La7 La 0.8327 0.7028 0.7650
La8 La 0.9473 0.5748 0.2681
Au1 Au 0.0615 0.9385 0.2500
Au2 Au 0.1926 0.8074 0.7500
Au3 Au 0.8074 0.1926 0.2500
Au4 Au 0.9385 0.0615 0.7500
Br1 Br 0.3120 0.6880 0.2500
Br2 Br 0.4392 0.5608 0.7500
Br3 Br 0.5608 0.4392 0.2500
Br4 Br 0.6880 0.3120 0.7500
```

* formation energy (no corrections): -1.063 eV per atom